Record 1
# Dy2Ni12P3Pd PBE relaxed
data_Dy2Ni12P3Pd
_cell_length_a 6.265
_cell_length_b 6.265
_cell_length_c 6.265
_cell_angle_alpha 85.95
_cell_angle_beta 85.95
_cell_angle_gamma 85.95
_space_group_name_H-M_alt 'P 1'
_space_group_IT_number 1
_space_group_name_Hall 'P 1'
loop_
_atom_site_label
_atom_site_type_symbol
_atom_site_fract_x
_atom_site_fract_y
_atom_site_fract_z
Dy1 Dy 0.198 0.198 0.198
Dy2 Dy 0.802 0.802 0.802
Ni1 Ni 0.107 0.107 0.623
Ni2 Ni 0.107 0.623 0.107
Ni3 Ni 0.185 0.687 0.687
Ni4 Ni 0.313 0.313 0.815
Ni5 Ni 0.313 0.815 0.313
Ni6 Ni 0.377 0.893 0.893
Ni7 Ni 0.623 0.107 0.107
Ni8 Ni 0.687 0.185 0.687
Ni9 Ni 0.687 0.687 0.185
Ni10 Ni 0.815 0.313 0.313
Ni11 Ni 0.893 0.377 0.893
Ni12 Ni 0.893 0.893 0.377
P1 P 0.000 0.500 0.500
P2 P 0.500 0.000 0.500
P3 P 0.500 0.500 0.000
Pd1 Pd 0.500 0.500 0.500
# Size of the total moment: 0.00 μB/f.u.
# Energy of formation from the pure elements: -0.105 eV/atom

Record 2
# HfTlMo2Ru PBE relaxed
data_HfTlMo2Ru
_cell_length_a 4.928
_cell_length_b 4.928
_cell_length_c 5.140
_cell_angle_alpha 90.00
_cell_angle_beta 90.00
_cell_angle_gamma 90.00
_space_group_name_H-M_alt 'P 1'
_space_group_IT_number 1
_space_group_name_Hall 'P 1'
loop_
_atom_site_label
_atom_site_type_symbol
_atom_site_fract_x
_atom_site_fract_y
_atom_site_fract_z
Hf1 Hf 0.000 0.000 0.000
Tl1 Tl 0.000 0.000 0.500
Mo1 Mo 0.000 0.500 0.500
Mo2 Mo 0.500 0.000 0.500
Ru1 Ru 0.500 0.500 0.000
# Size of the total moment: 3.25 μB/f.u.
# Energy of formation from the pure elements: 2.618 eV/atom

Record 3
# NdErScZn PBE relaxed
data_NdErScZn
_cell_length_a 7.442
_cell_length_b 7.442
_cell_length_c 7.442
_cell_angle_alpha 90.00
_cell_angle_beta 90.00
_cell_angle_gamma 90.00
_space_group_name_H-M_alt 'P 1'
_space_group_IT_number 1
_space_group_name_Hall 'P 1'
loop_
_atom_site_label
_atom_site_type_symbol
_atom_site_fract_x
_atom_site_fract_y
_atom_site_fract_z
Nd1 Nd 0.000 0.000 0.000
Nd2 Nd 0.000 0.500 0.500
Nd3 Nd 0.500 0.000 0.500
Nd4 Nd 0.500 0.500 0.000
Er1 Er 0.000 0.000 0.500
Er2 Er 0.000 0.500 0.000
Er3 Er 0.500 0.000 0.000
Er4 Er 0.500 0.500 0.500
Sc1 Sc 0.250 0.250 0.750
Sc2 Sc 0.250 0.750 0.250
Sc3 Sc 0.750 0.250 0.250
Sc4 Sc 0.750 0.750 0.750
Zn1 Zn 0.250 0.250 0.250
Zn2 Zn 0.250 0.750 0.750
Zn3 Zn 0.750 0.250 0.750
Zn4 Zn 0.750 0.750 0.250
# Size of the total moment: 0.00 μB/f.u.
# Energy of formation from the pure elements: -0.003 eV/atom

Record 4
# CaDy2Ag PBE relaxed
data_CaDy2Ag
_cell_length_a 3.624
_cell_length_b 3.624
_cell_length_c 9.341
_cell_angle_alpha 90.00
_cell_angle_beta 90.00
_cell_angle_gamma 90.00
_space_group_name_H-M_alt 'P 1'
_space_group_IT_number 1
_space_group_name_Hall 'P 1'
loop_
_atom_site_label
_atom_site_type_symbol
_atom_site_fract_x
_atom_site_fract_y
_atom_site_fract_z
Ca1 Ca 0.000 0.000 0.000
Dy1 Dy 0.500 0.500 0.309
Dy2 Dy 0.500 0.500 0.691
Ag1 Ag 0.000 0.000 0.500
# Size of the total moment: 0.00 μB/f.u.
# Energy of formation from the pure elements: -0.060 eV/atom

Record 5
# Ac8Ni4Ru PBE relaxed
data_Ac8Ni4Ru
_cell_length_a 8.455
_cell_length_b 8.455
_cell_length_c 8.455
_cell_angle_alpha 60.80
_cell_angle_beta 60.80
_cell_angle_gamma 60.80
_space_group_name_H-M_alt 'P 1'
_space_group_IT_number 1
_space_group_name_Hall 'P 1'
loop_
_atom_site_label
_atom_site_type_symbol
_atom_site_fract_x
_atom_site_fract_y
_atom_site_fract_z
Ac1 Ac 0.239 0.752 0.752
Ac2 Ac 0.242 0.242 0.242
Ac3 Ac 0.248 0.248 0.761
Ac4 Ac 0.248 0.761 0.248
Ac5 Ac 0.752 0.239 0.752
Ac6 Ac 0.752 0.752 0.239
Ac7 Ac 0.758 0.758 0.758
Ac8 Ac 0.761 0.248 0.248
Ni1 Ni 0.000 0.000 0.500
Ni2 Ni 0.000 0.500 0.000
Ni3 Ni 0.500 0.000 0.000
Ni4 Ni 0.500 0.500 0.500
Ru1 Ru 0.000 0.000 0.000
# Size of the total moment: 0.00 μB/f.u.
# Energy of formation from the pure elements: -0.180 eV/atom

Record 6
# BaAcCd10 PBE relaxed
data_BaAcCd10
_cell_length_a 4.885
_cell_length_b 6.130
_cell_length_c 10.617
_cell_angle_alpha 90.00
_cell_angle_beta 90.00
_cell_angle_gamma 90.00
_space_group_name_H-M_alt 'P 1'
_space_group_IT_number 1
_space_group_name_Hall 'P 1'
loop_
_atom_site_label
_atom_site_type_symbol
_atom_site_fract_x
_atom_site_fract_y
_atom_site_fract_z
Ba1 Ba 0.000 0.000 0.000
Ac1 Ac 0.000 0.500 0.500
Cd1 Cd 0.000 0.000 0.335
Cd2 Cd 0.000 0.000 0.665
Cd3 Cd 0.000 0.500 0.168
Cd4 Cd 0.000 0.500 0.832
Cd5 Cd 0.500 0.000 0.500
Cd6 Cd 0.500 0.254 0.256
Cd7 Cd 0.500 0.254 0.744
Cd8 Cd 0.500 0.500 0.000
Cd9 Cd 0.500 0.746 0.256
Cd10 Cd 0.500 0.746 0.744
# Size of the total moment: 0.00 μB/f.u.
# Energy of formation from the pure elements: -0.230 eV/atom

V, respectively: 13.56, 24.96, 25.76, 30.67, 33.48, 26.49 Å³/atom.